PBE with a Hubbard U MnWO4, optimized geometry; volume = 12.3 Å³/atom; VASP energy = -7.662 eV/atom; mass density = 6.8 g cm⁻³
1.0
-4.561 0.396 1.591
0.077 -5.438 1.573
1.787 3.472 4.259
O W Mn
8 2 2
Cartesian
-0.233 0.429 4.035 O
-0.979 -3.884 2.259 O
-2.464 -1.999 3.387 O
0.497 -2.350 4.580 O
-0.765 -1.187 1.384 O
-1.932 -0.383 6.039 O
-3.194 0.780 2.842 O
-1.718 2.314 5.164 O
-2.242 -2.521 1.582 W
0.000 0.000 0.000 W
-1.387 1.934 2.925 Mn
0.932 -0.983 2.916 Mn